First-principles (GGA-PBE) data for Sn2TeP4 after structural relaxation, as listed in Alexandria.

Uncorrected energy: -3.927 eV/atom
Formation energy without anion corrections: 757 meV per atom

a = 5.1533 Å, b = 5.1533 Å, c = 13.6063 Å
α = 90.00°, β = 90.00°, γ = 90.00°
Closest atoms and distances in Å follow each position.
Sites, in units of the cell vectors:
Sn (0.0000, 0.0000, 0.1128)  1 P 2.54
Sn (0.0000, 0.0000, 0.8872)  1 P 2.54
Sn (0.5000, 0.5000, 0.3872)  1 P 2.54
Sn (0.5000, 0.5000, 0.6128)  1 P 2.54
Te (0.0000, 0.0000, 0.5000)  6 P 2.58-2.73
Te (0.5000, 0.5000, 0.0000)  6 P 2.58-2.73
P (0.0000, 0.0000, 0.2997)  1 Sn 2.54, 1 Te 2.73
P (0.0000, 0.0000, 0.7003)  1 Sn 2.54, 1 Te 2.73
P (0.0000, 0.5000, 0.0000)  2 Te 2.58
P (0.0000, 0.5000, 0.5000)  2 Te 2.58
P (0.5000, 0.0000, 0.0000)  2 Te 2.58
P (0.5000, 0.0000, 0.5000)  2 Te 2.58
P (0.5000, 0.5000, 0.2003)  1 Sn 2.54, 1 Te 2.73
P (0.5000, 0.5000, 0.7997)  1 Sn 2.54, 1 Te 2.73


First-principles (GGA-PBE) data for Sn2TeP after structural relaxation, as listed in Alexandria.

Uncorrected energy: -3.888 eV/atom
Formation energy without anion corrections: 251 meV per atom

a = 7.3372 Å, b = 7.3372 Å, c = 7.3372 Å
α = 90.00°, β = 90.00°, γ = 90.00°
Closest atoms and distances in Å follow each position.
Sites, in units of the cell vectors:
Sn (0.2500, 0.2500, 0.2500)  4 Te 3.18, 4 P 3.18
Sn (0.2500, 0.2500, 0.7500)  4 Te 3.18, 4 P 3.18
Sn (0.2500, 0.7500, 0.2500)  4 Te 3.18, 4 P 3.18
Sn (0.2500, 0.7500, 0.7500)  4 Te 3.18, 4 P 3.18
Sn (0.7500, 0.2500, 0.2500)  4 Te 3.18, 4 P 3.18
Sn (0.7500, 0.2500, 0.7500)  4 Te 3.18, 4 P 3.18
Sn (0.7500, 0.7500, 0.2500)  4 Te 3.18, 4 P 3.18
Sn (0.7500, 0.7500, 0.7500)  4 Te 3.18, 4 P 3.18
Te (0.0000, 0.0000, 0.0000)  8 Sn 3.18
Te (0.0000, 0.5000, 0.5000)  8 Sn 3.18
Te (0.5000, 0.0000, 0.5000)  8 Sn 3.18
Te (0.5000, 0.5000, 0.0000)  8 Sn 3.18
P (0.0000, 0.0000, 0.5000)  8 Sn 3.18
P (0.0000, 0.5000, 0.0000)  8 Sn 3.18
P (0.5000, 0.0000, 0.0000)  8 Sn 3.18
P (0.5000, 0.5000, 0.5000)  8 Sn 3.18


First-principles (GGA-PBE) data for SnTeP3 after structural relaxation, as listed in Alexandria.

Uncorrected energy: -3.607 eV/atom
Formation energy without anion corrections: 1068 meV per atom

a = 5.0686 Å, b = 5.0686 Å, c = 5.0686 Å
α = 90.00°, β = 90.00°, γ = 90.00°
Closest atoms and distances in Å follow each position.
Sites, in units of the cell vectors:
Sn (0.0000, 0.0000, 0.0000)  12 P 3.58
Te (0.5000, 0.5000, 0.5000)  6 P 2.53
P (0.0000, 0.5000, 0.5000)  2 Te 2.53
P (0.5000, 0.0000, 0.5000)  2 Te 2.53
P (0.5000, 0.5000, 0.0000)  2 Te 2.53